DFT (meta-GGA SCAN) results for a crystal of HoErRu2 relaxed with PBEsol.

Calculated values
The size of the total moment comes out at 0.0 μB/f.u. The symmetry is Fm-3m, No. 225. The density of states at the Fermi level comes out at 2.5 states/eV per cell. The value obtained for the energy relative to the elements is -188 kJ/mol of formula units.

abc: 4.6951 4.6951 4.6951
angles: 60.00 60.00 60.00
Closest atoms and distances in Å follow each position.
Element x y z (fractional)
Ru 0.7500 0.7500 0.7500  4 Er 2.88, 4 Ho 2.88
Ru 0.2500 0.2500 0.2500  4 Ho 2.88, 4 Er 2.88
Ho 0.5000 0.5000 0.5000  8 Ru 2.88
Er 0.0000 0.0000 0.0000  8 Ru 2.88